Computed, not measured: a relaxed structure of Sr2YTc at the GGA-PBEsol level of DFT. Values from VASP.

Results
Space-group type ... P4/mmm (123)
Relative energy among the computed polymorphs ... 134.6 meV per atom
Crystal system ... tetragonal
Spin magnetization ... 2.3 μB/cell
ΔH_f (0 K) ... 0.80 eV/atom

Geometry as Quantum ESPRESSO input:
```
&SYSTEM
  ibrav = 0, nat = 4, ntyp = 3
/
ATOMIC_SPECIES
Sr 87.62 Sr.upf
Tc 98.00 Tc.upf
Y 88.91 Y.upf
ATOMIC_POSITIONS angstrom
Sr 0.000 0.000 3.113
Sr 0.000 0.000 7.112
Tc 1.711 1.744 5.113
Y 1.711 1.744 0.000
CELL_PARAMETERS angstrom
3.455 0.032 0.000
-0.033 3.455 0.000
0.000 0.000 10.225
```